Entry 1:
A plane-wave DFT calculation with PBE was carried out for crystalline PmSmCoCl at its relaxed geometry.

The value obtained for the uncorrected formation energy is -0.816 eV per atom.

Unit cell a=3.8960 b=3.8960 c=22.7927 alpha=90.00 beta=90.00 gamma=120.00
Space group R3m (No. 160, hexagonal axes)
Symmetry-distinct sites (fractional):
Pm: 0.0000 0.0000 0.0000 x3
Sm: 0.0000 0.0000 0.2011 x3
Co: 0.0000 0.0000 0.6003 x3
Cl: 0.0000 0.0000 0.7705 x3



Entry 2:
A plane-wave DFT calculation with PBE was carried out for crystalline La4SnBiTe2 at its relaxed geometry.

The value obtained for the uncorrected formation energy is -1.289 eV per atom.

Unit cell a=8.0047 b=4.6514 c=8.0590 alpha=90.00 beta=109.56 gamma=90.00
Space group P2/m (No. 10)
Symmetry-distinct sites (fractional):
La: 0.2423 0.0000 0.2431 x2
La: 0.2445 0.5000 0.7529 x2
Sn: 0.0000 0.5000 0.0000 x1
Bi: 0.0000 0.0000 0.5000 x1
Te: 0.5000 0.0000 0.0000 x1
Te: 0.5000 0.5000 0.5000 x1



Entry 3:
A plane-wave DFT calculation with PBE was carried out for crystalline NbB3As at its relaxed geometry.

The value obtained for the energy above the lowest structure with this stoichiometry is 42 meV per atom. For the energy of formation from the pure elements, the calculation gives 1.752 eV/atom.

Unit cell a=4.0100 b=4.0100 c=4.0100 alpha=90.00 beta=90.00 gamma=90.00
Space group Pm-3m (No. 221)
Symmetry-distinct sites (fractional):
Nb: 0.0000 0.0000 0.0000 x1
B: 0.0000 0.5000 0.5000 x3
As: 0.5000 0.5000 0.5000 x1



Entry 4:
A plane-wave DFT calculation with PBE was carried out for crystalline ZnAgHg2 at its relaxed geometry.

For the energy of formation from the pure elements, the calculation gives 0.171 eV/atom.

Unit cell a=4.0729 b=4.0729 c=19.3515 alpha=90.00 beta=90.00 gamma=120.00
Space group R3m (No. 160, hexagonal axes)
Symmetry-distinct sites (fractional):
Zn: 0.0000 0.0000 0.0000 x3
Ag: 0.0000 0.0000 0.1663 x3
Hg: 0.0000 0.0000 0.5851 x3
Hg: 0.0000 0.0000 0.7487 x3



Entry 5:
A plane-wave DFT calculation with PBE was carried out for crystalline ZrSbCl2 at its relaxed geometry.

The value obtained for the energy above the lowest structure with this stoichiometry is 262 meV per atom. The value obtained for the uncorrected formation energy is -0.814 eV per atom.

Unit cell a=3.4173 b=4.6601 c=6.5808 alpha=90.00 beta=104.60 gamma=90.00
Space group Pm (No. 6)
Symmetry-distinct sites (fractional):
Zr: 0.0000 0.0000 0.0000 x1
Sb: 0.3814 0.5000 0.7553 x1
Cl: 0.0857 0.5000 0.1774 x1
Cl: 0.6475 0.0000 0.3044 x1



Entry 6:
A plane-wave DFT calculation with PBE was carried out for crystalline Be2Al2W at its relaxed geometry.

For the energy of formation from the pure elements, the calculation gives 0.099 eV/atom.

Unit cell a=6.5946 b=6.5946 c=2.8629 alpha=90.00 beta=90.00 gamma=90.00
Space group P4/mbm (No. 127)
Symmetry-distinct sites (fractional):
Be: 0.1168 0.3832 0.0000 x4
Al: 0.1764 0.6764 0.5000 x4
W: 0.0000 0.0000 0.0000 x2



Entry 7:
A plane-wave DFT calculation with PBE was carried out for crystalline Sm3TeSe2 at its relaxed geometry.

The value obtained for the energy above the lowest structure with this stoichiometry is 39 meV per atom. The value obtained for the uncorrected formation energy is -1.649 eV per atom.

Unit cell a=4.2667 b=6.0430 c=12.8027 alpha=90.00 beta=90.00 gamma=90.00
Space group Immm (No. 71)
Symmetry-distinct sites (fractional):
Sm: 0.0000 0.0000 0.0000 x2
Sm: 0.0000 0.0000 0.3179 x4
Te: 0.0000 0.5000 0.0000 x2
Se: 0.0000 0.5000 0.3384 x4



Entry 8:
A plane-wave DFT calculation with PBE was carried out for crystalline Ce2Se2O at its relaxed geometry.

The value obtained for the energy above the lowest structure with this stoichiometry is 23 meV per atom. The value obtained for the uncorrected formation energy is -2.351 eV per atom.

Unit cell a=4.0437 b=16.1815 c=7.3961 alpha=90.00 beta=90.00 gamma=90.00
Space group Cmc2_1 (No. 36)
Symmetry-distinct sites (fractional):
Ce: 0.0000 0.0644 0.0000 x4
Ce: 0.0000 0.3404 0.1135 x4
Se: 0.0000 0.2924 0.5003 x4
Se: 0.0000 0.4604 0.8084 x4
O: 0.0000 0.1067 0.6968 x4



Entry 9:
A plane-wave DFT calculation with PBE was carried out for crystalline Nd2DyHoTm5 at its relaxed geometry.

For the energy of formation from the pure elements, the calculation gives 0.274 eV/atom.

Unit cell a=8.5618 b=8.5618 c=15.5369 alpha=90.00 beta=90.00 gamma=90.00
Space group I4/mcm (No. 140)
Symmetry-distinct sites (fractional):
Nd: 0.1177 0.3823 0.0000 x8
Dy: 0.0000 0.0000 0.2500 x4
Ho: 0.0000 0.5000 0.2500 x4
Tm: 0.0000 0.0000 0.0000 x4
Tm: 0.2129 0.2871 0.3595 x16



Entry 10:
A plane-wave DFT calculation with PBE was carried out for crystalline InSn2Pd at its relaxed geometry.

For the energy of formation from the pure elements, the calculation gives -0.220 eV/atom.

Unit cell a=3.3388 b=3.3388 c=8.3224 alpha=90.00 beta=90.00 gamma=90.00
Space group P4/mmm (No. 123)
Symmetry-distinct sites (fractional):
In: 0.0000 0.0000 0.0000 x1
Sn: 0.5000 0.5000 0.2970 x2
Pd: 0.0000 0.0000 0.5000 x1



Entry 11:
A plane-wave DFT calculation with PBE was carried out for crystalline Cd4Ga2Sn at its relaxed geometry.

The value obtained for the energy above the lowest structure with this stoichiometry is 4 meV per atom. For the energy of formation from the pure elements, the calculation gives 0.069 eV/atom.

Unit cell a=9.0643 b=7.5986 c=5.4754 alpha=90.00 beta=120.87 gamma=90.00
Space group C2/m (No. 12)
Symmetry-distinct sites (fractional):
Cd: 0.1960 0.1995 0.2021 x8
Ga: 0.0013 0.5000 0.7498 x4
Sn: 0.0000 0.0000 0.5000 x2



Entry 12:
A plane-wave DFT calculation with PBE was carried out for crystalline Nd3DyHo6Tm2 at its relaxed geometry.

For the energy of formation from the pure elements, the calculation gives 0.021 eV/atom.

Unit cell a=6.1696 b=10.6800 c=11.7708 alpha=90.00 beta=100.04 gamma=90.00
Space group C2/m (No. 12)
Symmetry-distinct sites (fractional):
Nd: 0.0000 0.0000 0.0000 x2
Nd: 0.0000 0.3332 0.0000 x4
Dy: 0.0000 0.5000 0.5000 x2
Ho: 0.2483 0.0000 0.7453 x4
Ho: 0.2487 0.3332 0.7453 x8
Tm: 0.0000 0.1667 0.5000 x4



Entry 13:
A plane-wave DFT calculation with PBE was carried out for crystalline LiSmAu at its relaxed geometry.

The value obtained for the energy above the lowest structure with this stoichiometry is 4 meV per atom. For the energy of formation from the pure elements, the calculation gives -0.588 eV/atom.

Unit cell a=7.3588 b=4.1725 c=8.7692 alpha=90.00 beta=90.00 gamma=90.00
Space group Pnma (No. 62)
Symmetry-distinct sites (fractional):
Li: 0.1269 0.2500 0.0597 x4
Sm: 0.0456 0.2500 0.6848 x4
Au: 0.2494 0.7500 0.8829 x4



Entry 14:
A plane-wave DFT calculation with PBE was carried out for crystalline TaAs2Os at its relaxed geometry.

The value obtained for the energy above the lowest structure with this stoichiometry is 0 meV per atom. For the energy of formation from the pure elements, the calculation gives -0.109 eV/atom.

Unit cell a=2.9589 b=2.9589 c=8.4649 alpha=90.00 beta=90.00 gamma=90.00
Space group P4mm (No. 99)
Symmetry-distinct sites (fractional):
Ta: 0.0000 0.0000 0.0000 x1
As: 0.0000 0.0000 0.5976 x1
As: 0.5000 0.5000 0.2281 x1
Os: 0.5000 0.5000 0.7769 x1



Entry 15:
A plane-wave DFT calculation with PBE was carried out for crystalline Ba3Os at its relaxed geometry.

For the energy of formation from the pure elements, the calculation gives 0.709 eV/atom.

Unit cell a=4.3458 b=4.3458 c=11.4475 alpha=90.00 beta=90.00 gamma=120.00
Space group P-6m2 (No. 187)
Symmetry-distinct sites (fractional):
Ba: 0.0000 0.0000 0.0000 x1
Ba: 0.3333 0.6667 0.3376 x2
Os: 0.0000 0.0000 0.5000 x1



Entry 16:
A plane-wave DFT calculation with PBE was carried out for crystalline SrTc2Rh at its relaxed geometry.

The value obtained for the energy above the lowest structure with this stoichiometry is 480 meV per atom. For the energy of formation from the pure elements, the calculation gives 0.812 eV/atom.

Unit cell a=2.8408 b=2.8408 c=30.0596 alpha=90.00 beta=90.00 gamma=120.00
Space group R-3m (No. 166, hexagonal axes)
Symmetry-distinct sites (fractional):
Sr: 0.0000 0.0000 0.0000 x3
Tc: 0.0000 0.0000 0.2380 x6
Rh: 0.0000 0.0000 0.5000 x3



Entry 17:
A plane-wave DFT calculation with PBE was carried out for crystalline BaLiAg3 at its relaxed geometry.

The value obtained for the energy above the lowest structure with this stoichiometry is 9 meV per atom. For the energy of formation from the pure elements, the calculation gives -0.151 eV/atom.

Unit cell a=6.9547 b=6.9547 c=6.0439 alpha=90.00 beta=90.00 gamma=120.00
Space group P6_3/mmc (No. 194)
Symmetry-distinct sites (fractional):
Ba: 0.3333 0.6667 0.2500 x2
Li: 0.0000 0.0000 0.0000 x2
Ag: 0.1925 0.3851 0.7500 x6



Entry 18:
A plane-wave DFT calculation with PBE was carried out for crystalline Ba2Na6Ag3 at its relaxed geometry.

For the energy of formation from the pure elements, the calculation gives -0.050 eV/atom.

Unit cell a=9.5305 b=9.5305 c=4.7413 alpha=90.00 beta=90.00 gamma=120.00
Space group P-62m (No. 189)
Symmetry-distinct sites (fractional):
Ba: 0.3333 0.6667 0.0000 x2
Na: 0.0000 0.2859 0.5000 x3
Na: 0.0000 0.7927 0.0000 x3
Ag: 0.0000 0.6007 0.5000 x3



Entry 19:
A plane-wave DFT calculation with PBE was carried out for crystalline Tl2GaCuF6 at its relaxed geometry.

The value obtained for the uncorrected formation energy is -1.950 eV per atom.

Unit cell a=5.9930 b=5.9930 c=5.6113 alpha=90.00 beta=90.00 gamma=120.00
Space group P-3m1 (No. 164)
Symmetry-distinct sites (fractional):
Tl: 0.3333 0.6667 0.2301 x2
Ga: 0.0000 0.0000 0.0000 x1
Cu: 0.0000 0.0000 0.5000 x1
F: 0.1493 0.2986 0.7950 x6



Entry 20:
A plane-wave DFT calculation with PBE was carried out for crystalline La15Nd4Tl at its relaxed geometry.

For the energy of formation from the pure elements, the calculation gives -0.036 eV/atom.

Unit cell a=5.2057 b=5.2057 c=26.2287 alpha=90.00 beta=90.00 gamma=90.00
Space group P4/mmm (No. 123)
Symmetry-distinct sites (fractional):
La: 0.0000 0.0000 0.0000 x1
La: 0.0000 0.0000 0.1983 x2
La: 0.0000 0.0000 0.3994 x2
La: 0.0000 0.5000 0.0964 x4
La: 0.0000 0.5000 0.2975 x4
La: 0.0000 0.5000 0.5000 x2
Nd: 0.5000 0.5000 0.1972 x2
Nd: 0.5000 0.5000 0.3998 x2
Tl: 0.5000 0.5000 0.0000 x1